*A*
This record from Alexandria describes a relaxed structure of CdSb2P. The functional is PBEsol.

```
4
Lattice="-1.705 -2.931 -0.642 2.838 -1.334 -1.443 2.149 -2.730 6.751" Properties=species:S:1:pos:R:3 pbc="T T T"
P 2.221 -4.235 4.157
Sb 2.020 -2.565 6.344
Sb 1.134 -2.854 0.740
Cd 1.131 -1.436 3.552
```

*B*
This record from Alexandria describes a relaxed structure of CdSb2P. The functional is PBEsol.

```
4
Lattice="3.613 0.000 0.000 1.807 3.129 0.000 1.807 1.043 8.569" Properties=species:S:1:pos:R:3 pbc="T T T"
Sb 5.420 3.129 0.547
Sb 5.420 3.129 6.182
P 1.807 1.043 2.126
Cd 3.613 2.086 3.998
```

*C*
This record from Alexandria describes a relaxed structure of CdSb2P. The functional is PBEsol.

```
4
Lattice="-2.173 -0.104 3.122 3.453 -1.450 2.356 1.369 5.084 1.123" Properties=species:S:1:pos:R:3 pbc="T T T"
Cd 0.640 -0.777 2.739
P 2.411 1.817 1.739
Sb 0.000 0.000 0.000
Sb -0.402 2.490 2.122
```

The structure with the most favorable energy is *B*; the runner-up is 9.1 kJ/mol of atoms above it.

*A*
This record from Alexandria describes a relaxed structure of CdSbP2. The functional is PBEsol.

```
4
Lattice="-2.305 2.006 0.843 1.652 -2.679 4.929 3.167 4.345 -1.676" Properties=species:S:1:pos:R:3 pbc="T T T"
P 2.986 2.973 1.092
P 2.025 3.564 3.017
Cd 0.311 1.509 3.218
Sb 0.137 2.472 0.452
```

*B*
This record from Alexandria describes a relaxed structure of CdSbP2. The functional is PBEsol.

```
4
Lattice="3.639 0.000 0.000 0.000 3.639 0.000 0.000 0.000 6.008" Properties=species:S:1:pos:R:3 pbc="T T T"
P 0.000 0.000 1.843
P 0.000 0.000 4.164
Cd 1.820 1.820 3.004
Sb 1.820 1.820 0.000
```

The structure with the most favorable energy is *A*; the runner-up is 19.0 kJ/mol of atoms above it.

*A*
This record from Alexandria describes a relaxed structure of CdSbP2. The functional is PBEsol.

```
4
Lattice="4.777 0.000 0.000 2.388 4.137 0.000 2.388 1.379 3.900" Properties=species:S:1:pos:R:3 pbc="T T T"
Cd 4.777 2.758 1.950
P 7.165 4.137 2.925
P 0.000 0.000 0.000
Sb 2.388 1.379 0.975
```

*B*
This record from Alexandria describes a relaxed structure of CdSbP2. The functional is PBEsol.

```
4
Lattice="3.144 0.000 0.000 0.000 3.144 0.000 0.000 0.000 8.621" Properties=species:S:1:pos:R:3 pbc="T T T"
Cd 1.572 1.572 6.681
P 0.000 0.000 1.395
P 1.572 1.572 0.732
Sb 0.000 0.000 4.123
```

*C*
This record from Alexandria describes a relaxed structure of CdSbP2. The functional is PBEsol.

```
8
Lattice="5.867 0.000 0.000 0.000 5.867 0.000 -2.933 -2.933 6.159" Properties=species:S:1:pos:R:3 pbc="T T T"
Sb 0.000 2.933 3.079
Sb 0.000 0.000 0.000
P -1.467 -1.443 4.619
P 1.467 1.443 4.619
P 1.490 4.400 1.540
P 4.377 1.467 1.540
Cd 2.933 0.000 3.079
Cd 2.933 2.933 0.000
```

The structure with the most favorable energy is *B*; the runner-up is 8.2 kJ/mol of atoms above it.

*A*
This record from Alexandria describes a relaxed structure of Cd2SbP. The functional is PBEsol.

```
4
Lattice="3.848 0.000 0.000 1.924 3.332 0.000 1.924 1.111 6.994" Properties=species:S:1:pos:R:3 pbc="T T T"
P 3.848 2.221 3.497
Sb 0.000 0.000 0.000
Cd 1.924 1.111 2.026
Cd 5.771 3.332 4.968
```

*B*
This record from Alexandria describes a relaxed structure of Cd2SbP. The functional is PBEsol.

```
4
Lattice="3.612 0.000 0.000 0.000 4.490 0.000 -1.806 -2.245 5.454" Properties=species:S:1:pos:R:3 pbc="T T T"
P 1.806 2.245 0.178
Cd 1.806 2.245 5.285
Cd 1.806 0.000 3.266
Sb 0.000 2.245 2.178
```

*C*
This record from Alexandria describes a relaxed structure of Cd2SbP. The functional is PBEsol.

```
4
Lattice="4.933 0.000 0.000 2.466 4.272 0.000 2.466 1.424 4.028" Properties=species:S:1:pos:R:3 pbc="T T T"
P 4.933 2.848 2.014
Cd 0.000 0.000 0.000
Cd 7.399 4.272 3.021
Sb 2.466 1.424 1.007
```

The structure with the most favorable energy is *A*; the runner-up is 4.2 kJ/mol of atoms above it.